The following is a DFT calculation (GGA-PBE) of Sr2ZrSe after structural relaxation.

Cell: 11.0000 11.0000 8.2040 Å, 47.90 47.90 90.00°
With the nearest neighbours (Å) after each atom.
Fractional coordinates of all 8 atoms:
Sr: 0.3750 0.5131 0.7500  2 Se 3.08
Sr: 0.2631 0.6250 0.2500  2 Se 3.08
Sr: 0.8750 0.7369 0.7500  2 Se 3.08
Sr: 0.4869 0.1250 0.2500  2 Se 3.08
Zr: 0.0000 0.0000 0.0000  2 Se 2.61
Zr: 0.7500 0.2500 0.5000  2 Se 2.61
Se: 0.5000 0.5000 0.0000  2 Zr 2.61
Se: 0.2500 0.7500 0.5000  2 Zr 2.61

SG: I-42d, No. 122
Size of the total moment, μB/f.u.: 2.0
E_form (uncorrected), meV/atom: -232